[1]
A relaxed YHfOsBr2 crystal, computed with PBEsol.

Values from the calculation:
**Uncorrected formation energy**: 1.314 eV/atom
**Calculated density**: 6.2 g/cm3

Lattice parameters (Å, degrees): 5.022 5.022 6.534 90.00 90.00 90.00
Site moments in Bohr magnetons follow the coordinates.
Element x y z (fractional)
Os 0.500 0.500 0.500  2.31
Br 0.000 0.500 0.000  0.00
Br 0.500 0.000 0.000  0.00
Hf 0.000 0.000 0.500  -0.79
Y 0.000 0.000 0.000  -0.16

[2]
A relaxed HfPSeBr2 crystal, computed with PBEsol.

Values from the calculation:
**Uncorrected formation energy**: 0.520 eV/atom
**Calculated density**: 6.4 g/cm3

Lattice parameters (Å, degrees): 4.892 4.892 4.852 90.00 90.00 90.00
Site moments in Bohr magnetons follow the coordinates.
Element x y z (fractional)
Hf 0.500 0.500 0.500  1.05
Br 0.000 0.500 0.000  -0.01
Se 0.000 0.000 0.500  -0.04
P 0.000 0.000 0.000  -0.02
Br 0.500 0.000 0.000  -0.01

[3]
A relaxed HfPbSe2Br crystal, computed with PBEsol.

Values from the calculation:
**Uncorrected formation energy**: 0.670 eV/atom
**Calculated density**: 6.8 g/cm3

Lattice parameters (Å, degrees): 5.314 5.337 5.337 90.00 90.00 90.00
Site moments in Bohr magnetons follow the coordinates.
Element x y z (fractional)
Hf 0.500 0.500 0.500  0.93
Pb 0.000 0.000 0.000  -0.01
Se 0.000 0.000 0.500  -0.06
Se 0.000 0.500 0.000  -0.06
Br 0.500 0.000 0.000  -0.01

[4]
A relaxed HfPdSeBr2 crystal, computed with PBEsol.

Values from the calculation:
**Uncorrected formation energy**: 0.293 eV/atom
**Calculated density**: 7.4 g/cm3

Lattice parameters (Å, degrees): 4.846 4.846 5.019 90.00 90.00 90.00
Site moments in Bohr magnetons follow the coordinates.
Element x y z (fractional)
Hf 0.500 0.500 0.500  0.88
Pd 0.000 0.000 0.000  -0.01
Br 0.000 0.500 0.000  -0.02
Se 0.000 0.000 0.500  -0.05
Br 0.500 0.000 0.000  -0.02

[5]
A relaxed HfPtSe2Br crystal, computed with PBEsol.

Values from the calculation:
**Uncorrected formation energy**: 0.343 eV/atom
**Calculated density**: 8.8 g/cm3

Lattice parameters (Å, degrees): 4.811 4.896 4.896 90.00 90.00 90.00
Site moments in Bohr magnetons follow the coordinates.
Element x y z (fractional)
Se 0.000 0.500 0.000  -0.01
Hf 0.500 0.500 0.500  0.19
Pt 0.000 0.000 0.000  -0.01
Br 0.500 0.000 0.000  -0.01
Se 0.000 0.000 0.500  -0.01

[6]
A relaxed RbHf3Br crystal, computed with PBEsol.

Values from the calculation:
**Uncorrected formation energy**: 0.975 eV/atom
**Calculated density**: 8.8 g/cm3

Lattice parameters (Å, degrees): 5.087 5.087 5.087 90.00 90.00 90.00
Element x y z (fractional)
Hf 0.000 0.000 0.500
Hf 0.500 0.000 0.000
Br 0.000 0.000 0.000
Rb 0.500 0.500 0.500
Hf 0.000 0.500 0.000

[7]
A relaxed HfRe3Br crystal, computed with PBEsol.

Values from the calculation:
**Uncorrected formation energy**: 1.799 eV/atom
**Calculated density**: 14.9 g/cm3

Lattice parameters (Å, degrees): 4.503 4.503 4.503 90.00 90.00 90.00
Element x y z (fractional)
Re 0.000 0.500 0.000
Br 0.000 0.000 0.000
Re 0.000 0.000 0.500
Hf 0.500 0.500 0.500
Re 0.500 0.000 0.000

[8]
A relaxed HfReW2Br crystal, computed with PBEsol.

Values from the calculation:
**Uncorrected formation energy**: 2.003 eV/atom
**Calculated density**: 14.3 g/cm3

Lattice parameters (Å, degrees): 4.500 4.500 4.667 90.00 90.00 90.00
Element x y z (fractional)
Hf 0.000 0.000 0.500
W 0.500 0.000 0.000
W 0.000 0.500 0.000
Re 0.500 0.500 0.500
Br 0.000 0.000 0.000